A relaxed Nd5ThTl6 crystal, computed with GGA-PBE.

Results
Energy of formation (eV per formula unit): -4.03
Total magnetization (Bohr magnetons per cell): 0.00

Unit cell a=5.5402 b=16.6413 c=7.7435 alpha=90.00 beta=90.00 gamma=90.00
Last column: nearest neighbours and their distance in Å.
Space group Cmmm (No. 65)
Inequivalent atoms, fractional coordinates:
Nd 0.0000 0.0000 0.0000  8 Tl 3.37-3.40
Nd 0.0000 0.3337 0.0000  8 Tl 3.36-3.37
Nd 0.0000 0.3347 0.5000  8 Tl 3.38-3.39
Th 0.0000 0.0000 0.5000  8 Tl 3.39-3.41
Tl 0.0000 0.1681 0.2489  7 Nd 3.36-3.40, 1 Th 3.41
Tl 0.0000 0.5000 0.2469  6 Nd 3.36-3.38, 2 Th 3.39